20
Lattice="3.423 0.000 0.000 0.000 10.566 0.000 0.000 0.000 10.566" Properties=species:S:1:pos:R:3 comment="Cd2InSn2Pd5 PBE optimized geometry" dft_energy_ev_per_atom=-4.22 magmom_total_mub_per_atom=0.000 n_ef_per_ev_atom=0.40 delta_e_f_ev_per_atom=-0.362 pbc="T T T"
Cd 0.000 6.954 1.671
Cd 0.000 3.612 8.895
Cd 0.000 1.671 3.612
Cd 0.000 8.895 6.954
In 0.000 0.000 0.000
In 0.000 5.283 5.283
Sn 0.000 1.591 6.873
Sn 0.000 8.975 3.692
Sn 0.000 6.873 8.975
Sn 0.000 3.692 1.591
Pd 1.712 2.170 0.084
Pd 1.712 8.396 10.482
Pd 1.712 0.084 8.396
Pd 1.712 7.453 5.199
Pd 1.712 10.482 2.170
Pd 1.712 3.113 5.367
Pd 1.712 5.367 7.453
Pd 1.712 5.199 3.113
Pd 1.712 5.283 0.000
Pd 1.712 0.000 5.283